Arrangement w

# Tb2InTe4 | Alexandria via LeMat-Bulk | GGA-PBE | optimized geometry
# V (Å³/cell): 1055
# Total magnetization (μB/f.u.): 0.0
# Crystal system: tetragonal
# Fermi-level density of states (states/eV per cell): 9.7
data_Tb2InTe4
_chemical_formula_sum 'Tb8 In4 Te16'
_cell_length_a 9.0631
_cell_length_b 9.0631
_cell_length_c 12.8484
_cell_angle_alpha 90.00
_cell_angle_beta 90.00
_cell_angle_gamma 90.00
_space_group_name_H-M_alt 'I 41/a m d'
_space_group_IT_number 141
loop_
_space_group_symop_operation_xyz
'x,y,z'
'-x,-y,-z'
'-y+1/4,x+3/4,z+1/4'
'y+1/4,-x+3/4,-z+1/4'
'-x+1/2,-y,z+1/2'
'x+1/2,y,-z+1/2'
'y+1/4,-x+1/4,z+3/4'
'-y+1/4,x+1/4,-z+3/4'
'x,-y,-z'
'-x,y,z'
'-y+1/4,-x+1/4,-z+3/4'
'y+1/4,x+1/4,z+3/4'
'-x+1/2,y,-z+1/2'
'x+1/2,-y,z+1/2'
'y+1/4,x+3/4,-z+1/4'
'-y+1/4,-x+3/4,z+1/4'
'x+1/2,y+1/2,z+1/2'
'-x+1/2,-y+1/2,-z+1/2'
'-y+3/4,x+1/4,z+3/4'
'y+3/4,-x+1/4,-z+3/4'
'-x,-y+1/2,z'
'x,y+1/2,-z'
'y+3/4,-x+3/4,z+1/4'
'-y+3/4,x+3/4,-z+1/4'
'x+1/2,-y+1/2,-z+1/2'
'-x+1/2,y+1/2,z+1/2'
'-y+3/4,-x+3/4,-z+1/4'
'y+3/4,x+3/4,z+1/4'
'-x,y+1/2,-z'
'x,-y+1/2,z'
'y+3/4,x+1/4,-z+3/4'
'-y+3/4,-x+1/4,z+3/4'
loop_
_atom_site_label
_atom_site_type_symbol
_atom_site_fract_x
_atom_site_fract_y
_atom_site_fract_z
Tb1 Tb 0.0000 0.0000 0.0000
In1 In 0.0000 0.2500 0.3750
Te1 Te 0.0000 0.0165 0.7588

---

Arrangement x

# Tb2InTe4 | Alexandria via LeMat-Bulk | GGA-PBE | optimized geometry
# V (Å³/cell): 497
# Total magnetization (μB/f.u.): 0.0
# Crystal system: monoclinic
# Fermi-level density of states (states/eV per cell): 3.9
data_Tb2InTe4
_chemical_formula_sum 'Tb4 In2 Te8'
_cell_length_a 16.3118
_cell_length_b 4.3667
_cell_length_c 7.7623
_cell_angle_alpha 90.00
_cell_angle_beta 116.01
_cell_angle_gamma 90.00
_space_group_name_H-M_alt 'C 1 2/m 1'
_space_group_IT_number 12
loop_
_space_group_symop_operation_xyz
'x,y,z'
'-x,-y,-z'
'-x,y,-z'
'x,-y,z'
'x+1/2,y+1/2,z'
'-x+1/2,-y+1/2,-z'
'-x+1/2,y+1/2,-z'
'x+1/2,-y+1/2,z'
loop_
_atom_site_label
_atom_site_type_symbol
_atom_site_fract_x
_atom_site_fract_y
_atom_site_fract_z
Tb1 Tb 0.2399 0.0000 0.2220
In1 In 0.0000 0.5000 0.5000
Te1 Te 0.1217 0.5000 0.9536
Te2 Te 0.1380 0.0000 0.4812

---

Quick one: least stable of them? arrangement x

---

Arrangement w

# Tb3InTe | Alexandria via LeMat-Bulk | GGA-PBE | optimized geometry
# V (Å³/cell): 1251
# Total magnetization (μB/f.u.): 0.0
# Crystal system: monoclinic
# Fermi-level density of states (states/eV per cell): 31.6
data_Tb3InTe
_chemical_formula_sum 'Tb24 In8 Te8'
_cell_length_a 13.4412
_cell_length_b 11.9618
_cell_length_c 8.1605
_cell_angle_alpha 90.00
_cell_angle_beta 107.57
_cell_angle_gamma 90.00
_space_group_name_H-M_alt 'C 1 2/c 1'
_space_group_IT_number 15
loop_
_space_group_symop_operation_xyz
'x,y,z'
'-x,-y,-z'
'-x,y,-z+1/2'
'x,-y,z+1/2'
'x+1/2,y+1/2,z'
'-x+1/2,-y+1/2,-z'
'-x+1/2,y+1/2,-z+1/2'
'x+1/2,-y+1/2,z+1/2'
loop_
_atom_site_label
_atom_site_type_symbol
_atom_site_fract_x
_atom_site_fract_y
_atom_site_fract_z
Tb1 Tb 0.1224 0.1544 0.0906
Tb2 Tb 0.1425 0.4973 0.5695
Tb3 Tb 0.1486 0.1567 0.5449
In1 In 0.0000 0.0246 0.7500
In2 In 0.0000 0.3421 0.2500
Te1 Te 0.1430 0.3192 0.8222

---

Arrangement x

# Tb3InTe | Alexandria via LeMat-Bulk | GGA-PBE | optimized geometry
# V (Å³/cell): 598
# Total magnetization (μB/f.u.): 0.0
# Crystal system: orthorhombic
# Fermi-level density of states (states/eV per cell): 17.8
data_Tb3InTe
_chemical_formula_sum 'Tb12 In4 Te4'
_cell_length_a 8.0816
_cell_length_b 4.5257
_cell_length_c 16.3410
_cell_angle_alpha 90.00
_cell_angle_beta 90.00
_cell_angle_gamma 90.00
_space_group_name_H-M_alt 'P n m a'
_space_group_IT_number 62
loop_
_space_group_symop_operation_xyz
'x,y,z'
'-x,-y,-z'
'-x+1/2,-y,z+1/2'
'x+1/2,y,-z+1/2'
'x+1/2,-y+1/2,-z+1/2'
'-x+1/2,y+1/2,z+1/2'
'-x,y+1/2,-z'
'x,-y+1/2,z'
loop_
_atom_site_label
_atom_site_type_symbol
_atom_site_fract_x
_atom_site_fract_y
_atom_site_fract_z
Tb1 Tb 0.0146 0.2500 0.1115
Tb2 Tb 0.1318 0.2500 0.5573
Tb3 Tb 0.1879 0.7500 0.2621
In1 In 0.0835 0.7500 0.6924
Te1 Te 0.2201 0.2500 0.9487

---

Quick one: least stable of them? arrangement w

---

Arrangement w

# TbInTe3 | Alexandria via LeMat-Bulk | GGA-PBE | optimized geometry
# V (Å³/cell): 674
# Total magnetization (μB/f.u.): 0.0
# Crystal system: monoclinic
data_TbInTe3
_chemical_formula_sum 'Tb4 In4 Te12'
_cell_length_a 7.6781
_cell_length_b 7.9221
_cell_length_c 12.5504
_cell_angle_alpha 90.00
_cell_angle_beta 117.99
_cell_angle_gamma 90.00
_space_group_name_H-M_alt 'P 1 21/c 1'
_space_group_IT_number 14
loop_
_space_group_symop_operation_xyz
'x,y,z'
'-x,-y,-z'
'-x,y+1/2,-z+1/2'
'x,-y+1/2,z+1/2'
loop_
_atom_site_label
_atom_site_type_symbol
_atom_site_fract_x
_atom_site_fract_y
_atom_site_fract_z
Tb1 Tb 0.1586 0.1311 0.2113
In1 In 0.2549 0.6421 0.1171
Te1 Te 0.0995 0.1908 0.9343
Te2 Te 0.2292 0.6659 0.8881
Te3 Te 0.4678 0.0639 0.8189

---

Arrangement x

# TbInTe3 | Alexandria via LeMat-Bulk | GGA-PBE | optimized geometry
# V (Å³/cell): 823
# Total magnetization (μB/f.u.): 0.0
# Crystal system: orthorhombic
data_TbInTe3
_chemical_formula_sum 'Tb4 In4 Te12'
_cell_length_a 4.4557
_cell_length_b 25.1576
_cell_length_c 7.3401
_cell_angle_alpha 90.00
_cell_angle_beta 90.00
_cell_angle_gamma 90.00
_space_group_name_H-M_alt 'A m a 2'
_space_group_IT_number 40
loop_
_space_group_symop_operation_xyz
'x,y,z'
'-x,-y,z'
'-x+1/2,y,z'
'x+1/2,-y,z'
'x,y+1/2,z+1/2'
'-x,-y+1/2,z+1/2'
'-x+1/2,y+1/2,z+1/2'
'x+1/2,-y+1/2,z+1/2'
loop_
_atom_site_label
_atom_site_type_symbol
_atom_site_fract_x
_atom_site_fract_y
_atom_site_fract_z
Tb1 Tb 0.2500 0.1731 0.0000
In1 In 0.2500 0.3726 0.9226
Te1 Te 0.2500 0.0747 0.2590
Te2 Te 0.2500 0.2716 0.7370
Te3 Te 0.2500 0.3866 0.2991

---

Quick one: least stable of them? arrangement w

---

Arrangement w

# TbTh2In | Alexandria via LeMat-Bulk | GGA-PBE | optimized geometry
# V (Å³/cell): 123
# Total magnetization (μB/f.u.): 0.0
# Crystal system: tetragonal
# Fermi-level density of states (states/eV per cell): 5.3
data_TbTh2In
_chemical_formula_sum 'Tb1 Th2 In1'
_cell_length_a 3.4924
_cell_length_b 3.4924
_cell_length_c 10.1025
_cell_angle_alpha 90.00
_cell_angle_beta 90.00
_cell_angle_gamma 90.00
_space_group_name_H-M_alt 'P 4/m m m'
_space_group_IT_number 123
_space_group_name_Hall '-P 4 2'
loop_
_atom_site_label
_atom_site_type_symbol
_atom_site_fract_x
_atom_site_fract_y
_atom_site_fract_z
Tb1 Tb 0.0000 0.0000 0.0000
Th1 Th 0.5000 0.5000 0.2645
In1 In 0.0000 0.0000 0.5000

---

Arrangement x

# TbTh2In | Alexandria via LeMat-Bulk | GGA-PBE | optimized geometry
# V (Å³/cell): 502
# Total magnetization (μB/f.u.): 0.0
# Crystal system: orthorhombic
# Fermi-level density of states (states/eV per cell): 16.3
data_TbTh2In
_chemical_formula_sum 'Tb4 Th8 In4'
_cell_length_a 4.7344
_cell_length_b 22.5405
_cell_length_c 4.6998
_cell_angle_alpha 90.00
_cell_angle_beta 90.00
_cell_angle_gamma 90.00
_space_group_name_H-M_alt 'C m c m'
_space_group_IT_number 63
_space_group_name_Hall '-C 2c 2'
loop_
_atom_site_label
_atom_site_type_symbol
_atom_site_fract_x
_atom_site_fract_y
_atom_site_fract_z
Tb1 Tb 0.0000 0.1939 0.2500
Th1 Th 0.0000 0.0612 0.7500
Th2 Th 0.0000 0.4398 0.7500
In1 In 0.0000 0.3322 0.2500

---

Quick one: least stable of them? arrangement w